This record from the Alexandria database describes a geometry-optimized BaLi3Bi3 structure. The functional is PBE-GGA.

Computed properties:
Total energy   -3.191 eV/atom
E above lowest polymorph   0.0000 eV/atom
ΔH_f (0 K)   -10.0 kcal/mol of atoms
Total moment   0.0 μB per formula unit

Lattice parameters (Å, degrees): 10.3648 10.3648 10.3648 39.68 39.68 39.68
Closest atoms and distances in Å follow each position.
Fractional positions:
Ba 0.1885 0.1885 0.1885  6 Bi 3.54-3.78, 3 Li 3.90
Ba 0.8115 0.8115 0.8115  6 Bi 3.54-3.78, 3 Li 3.90
Li 0.0792 0.5768 0.2740  3 Bi 2.80-2.97, 5 Li 2.81-3.06
Li 0.2740 0.0792 0.5768  3 Bi 2.80-2.97, 5 Li 2.81-3.06
Li 0.4232 0.7260 0.9208  3 Bi 2.80-2.97, 5 Li 2.81-3.06
Li 0.5768 0.2740 0.0792  3 Bi 2.80-2.97, 5 Li 2.81-3.06
Li 0.7260 0.9208 0.4232  3 Bi 2.80-2.97, 5 Li 2.81-3.06
Li 0.9208 0.4232 0.7260  3 Bi 2.80-2.97, 5 Li 2.81-3.06
Bi 0.1791 0.7374 0.3224  3 Li 2.80-2.97
Bi 0.2626 0.6776 0.8209  3 Li 2.80-2.97
Bi 0.3224 0.1791 0.7374  3 Li 2.80-2.97
Bi 0.6776 0.8209 0.2626  3 Li 2.80-2.97
Bi 0.7374 0.3224 0.1791  3 Li 2.80-2.97
Bi 0.8209 0.2626 0.6776  3 Li 2.80-2.97


This record from the Alexandria database describes a geometry-optimized BaLi2Bi structure. The functional is PBE-GGA.

Computed properties:
Total energy   -2.765 eV/atom
ΔH_f (0 K)   -8.2 kcal/mol of atoms
Total moment   0.0 μB per formula unit

Lattice parameters (Å, degrees): 5.3054 5.3054 19.5738 90.00 90.00 90.00
Closest atoms and distances in Å follow each position.
Fractional positions:
Ba 0.0000 0.0000 0.0000  4 Bi 3.75, 8 Li 3.80-3.89
Ba 0.0000 0.5000 0.2500  4 Bi 3.75, 8 Li 3.80-3.89
Ba 0.5000 0.0000 0.7500  4 Bi 3.75, 8 Li 3.80-3.89
Ba 0.5000 0.5000 0.5000  4 Bi 3.75, 8 Li 3.80-3.89
Li 0.0114 0.2500 0.6250  2 Li 2.66, 2 Bi 2.78
Li 0.2500 0.5114 0.8750  2 Li 2.66, 2 Bi 2.78
Li 0.2500 0.9886 0.3750  2 Li 2.66, 2 Bi 2.78
Li 0.4886 0.2500 0.1250  2 Li 2.66, 2 Bi 2.78
Li 0.5114 0.7500 0.1250  2 Li 2.66, 2 Bi 2.78
Li 0.7500 0.0114 0.3750  2 Li 2.66, 2 Bi 2.78
Li 0.7500 0.4886 0.8750  2 Li 2.66, 2 Bi 2.78
Li 0.9886 0.7500 0.6250  2 Li 2.66, 2 Bi 2.78
Bi 0.0000 0.0000 0.5000  4 Li 2.78
Bi 0.0000 0.5000 0.7500  4 Li 2.78
Bi 0.5000 0.0000 0.2500  4 Li 2.78
Bi 0.5000 0.5000 0.0000  4 Li 2.78


This record from the Alexandria database describes a geometry-optimized BaLi2Bi2 structure. The functional is PBE-GGA.

Computed properties:
Total energy   -3.391 eV/atom
E above lowest polymorph   0.0000 eV/atom
ΔH_f (0 K)   -15.9 kcal/mol of atoms
Total moment   0.0 μB per formula unit

Lattice parameters (Å, degrees): 4.9039 4.9039 11.9885 90.00 90.00 90.00
Closest atoms and distances in Å follow each position.
Fractional positions:
Ba 0.2500 0.2500 0.2388  8 Bi 3.71-3.98, 8 Li 3.77
Ba 0.7500 0.7500 0.7612  8 Bi 3.71-3.98, 8 Li 3.77
Li 0.2500 0.2500 0.6384  5 Bi 2.78-2.96
Li 0.2500 0.7500 0.0000  4 Bi 2.90
Li 0.7500 0.2500 0.0000  4 Bi 2.90
Li 0.7500 0.7500 0.3616  5 Bi 2.78-2.96
Bi 0.2500 0.2500 0.8701  5 Li 2.78-2.90
Bi 0.2500 0.7500 0.5000  4 Li 2.96
Bi 0.7500 0.2500 0.5000  4 Li 2.96
Bi 0.7500 0.7500 0.1299  5 Li 2.78-2.90


This record from the Alexandria database describes a geometry-optimized Ba2Li2Bi5 structure. The functional is PBE-GGA.

Computed properties:
Total energy   -3.474 eV/atom
ΔH_f (0 K)   -10.7 kcal/mol of atoms
Total moment   0.0 μB per formula unit

Lattice parameters (Å, degrees): 5.2219 5.2219 10.6288 90.00 90.00 90.00
Closest atoms and distances in Å follow each position.
Fractional positions:
Ba 0.0000 0.0000 0.0000  8 Bi 3.78, 8 Li 3.98
Ba 0.0000 0.0000 0.5000  12 Bi 3.67-3.69
Li 0.5000 0.5000 0.1402  4 Bi 2.89, 1 Li 2.98
Li 0.5000 0.5000 0.8598  4 Bi 2.89, 1 Li 2.98
Bi 0.0000 0.5000 0.2571  2 Li 2.89
Bi 0.0000 0.5000 0.7429  2 Li 2.89
Bi 0.5000 0.0000 0.2571  2 Li 2.89
Bi 0.5000 0.0000 0.7429  2 Li 2.89
Bi 0.5000 0.5000 0.5000  8 Bi 3.67, 4 Ba 3.69, 2 Li 3.82


This record from the Alexandria database describes a geometry-optimized Ba3Li4Bi4 structure. The functional is PBE-GGA.

Computed properties:
Total energy   -3.402 eV/atom
E above lowest polymorph   0.0000 eV/atom
ΔH_f (0 K)   -17.8 kcal/mol of atoms
Total moment   0.0 μB per formula unit

Lattice parameters (Å, degrees): 9.6672 9.6672 9.6672 149.17 131.90 58.23
Closest atoms and distances in Å follow each position.
Fractional positions:
Ba 0.0000 0.0000 0.0000  6 Bi 3.52-3.62
Ba 0.3689 0.8689 0.5000  6 Li 3.61-3.62, 6 Bi 3.66-3.72
Ba 0.6311 0.1311 0.5000  6 Li 3.61-3.62, 6 Bi 3.66-3.72
Li 0.0172 0.3257 0.6915  1 Li 3.02, 4 Bi 3.06-3.08
Li 0.3658 0.6743 0.6915  1 Li 3.02, 4 Bi 3.06-3.08
Li 0.6342 0.3257 0.3085  1 Li 3.02, 4 Bi 3.06-3.08
Li 0.9828 0.6743 0.3085  1 Li 3.02, 4 Bi 3.06-3.08
Bi 0.2142 0.2142 0.0000  6 Li 3.06-3.08
Bi 0.3052 0.5000 0.8052  1 Bi 3.07, 2 Li 3.08
Bi 0.6948 0.5000 0.1948  1 Bi 3.07, 2 Li 3.08
Bi 0.7858 0.7858 0.0000  6 Li 3.06-3.08


This record from the Alexandria database describes a geometry-optimized Ba2Li2Bi3 structure. The functional is PBE-GGA.

Computed properties:
Total energy   -3.441 eV/atom
ΔH_f (0 K)   -15.7 kcal/mol of atoms
Total moment   0.0 μB per formula unit

Lattice parameters (Å, degrees): 11.6254 11.6254 7.9095 90.00 90.00 154.23
Closest atoms and distances in Å follow each position.
Fractional positions:
Ba 0.0450 0.9550 0.7500  9 Bi 3.61-4.00
Ba 0.1614 0.8386 0.2500  6 Li 3.50-3.66, 6 Bi 3.62-3.79
Ba 0.8386 0.1614 0.7500  6 Li 3.50-3.66, 6 Bi 3.62-3.79
Ba 0.9550 0.0450 0.2500  9 Bi 3.61-4.00
Li 0.3008 0.6992 0.0588  1 Li 3.02, 4 Bi 3.03-3.10
Li 0.3008 0.6992 0.4412  1 Li 3.02, 4 Bi 3.03-3.10
Li 0.6992 0.3008 0.5588  1 Li 3.02, 4 Bi 3.03-3.10
Li 0.6992 0.3008 0.9412  1 Li 3.02, 4 Bi 3.03-3.10
Bi 0.2167 0.7833 0.7500  6 Li 3.03-3.10
Bi 0.4281 0.5719 0.5583  1 Li 3.03, 2 Bi 3.03-3.39
Bi 0.4281 0.5719 0.9417  1 Li 3.03, 2 Bi 3.03-3.39
Bi 0.5719 0.4281 0.0583  1 Li 3.03, 2 Bi 3.03-3.39
Bi 0.5719 0.4281 0.4417  1 Li 3.03, 2 Bi 3.03-3.39
Bi 0.7833 0.2167 0.2500  6 Li 3.03-3.10


This record from the Alexandria database describes a geometry-optimized BaLiBi3 structure. The functional is PBE-GGA.

Computed properties:
Total energy   -3.551 eV/atom
E above lowest polymorph   0.0000 eV/atom
ΔH_f (0 K)   -10.5 kcal/mol of atoms
Total moment   0.0 μB per formula unit

Lattice parameters (Å, degrees): 6.8103 7.1138 6.9790 90.00 90.09 90.00
Closest atoms and distances in Å follow each position.
Fractional positions:
Ba 0.0000 0.0000 0.0000  7 Bi 3.44-3.84, 1 Li 3.51
Ba 0.4262 0.5000 0.5012  7 Bi 3.44-3.83, 1 Li 3.52
Li 0.5835 0.0000 0.7021  5 Bi 2.87-3.12
Li 0.8422 0.5000 0.2016  5 Bi 2.88-3.11
Bi 0.1273 0.5000 0.8981  1 Li 2.88
Bi 0.2979 0.0000 0.3983  1 Li 2.87
Bi 0.5033 0.2508 0.0427  2 Li 3.02-3.11, 2 Bi 3.27-3.36
Bi 0.5033 0.7492 0.0427  2 Li 3.02-3.11, 2 Bi 3.27-3.36
Bi 0.9225 0.2493 0.5418  2 Li 3.02-3.12, 2 Bi 3.27-3.36
Bi 0.9225 0.7507 0.5418  2 Li 3.02-3.12, 2 Bi 3.27-3.36


This record from the Alexandria database describes a geometry-optimized Ba5Li2Bi5 structure. The functional is PBE-GGA.

Computed properties:
Total energy   -3.553 eV/atom
ΔH_f (0 K)   -18.8 kcal/mol of atoms
Total moment   0.0 μB per formula unit

Lattice parameters (Å, degrees): 9.3229 9.3229 13.4760 129.25 129.25 31.24
Closest atoms and distances in Å follow each position.
Fractional positions:
Ba 0.0000 0.0000 0.0000  4 Li 3.64, 6 Bi 3.68-3.70
Ba 0.1011 0.1011 0.4135  7 Bi 3.63-3.78, 3 Li 3.70-3.72, 1 Ba 3.96
Ba 0.1904 0.1904 0.8185  5 Bi 3.66-3.73, 1 Li 3.68, 1 Ba 3.96
Ba 0.8096 0.8096 0.1815  5 Bi 3.66-3.73, 1 Li 3.68, 1 Ba 3.96
Ba 0.8989 0.8989 0.5865  7 Bi 3.63-3.78, 3 Li 3.70-3.72, 1 Ba 3.96
Li 0.3539 0.3539 0.7435  3 Bi 2.90-2.92
Li 0.6461 0.6461 0.2565  3 Bi 2.90-2.92
Bi 0.2535 0.2535 0.3252  2 Li 2.92
Bi 0.4408 0.4408 0.1392  1 Li 2.90
Bi 0.5000 0.5000 0.5000  2 Bi 3.38, 4 Ba 3.71
Bi 0.5592 0.5592 0.8608  1 Li 2.90
Bi 0.7465 0.7465 0.6748  2 Li 2.92


This record from the Alexandria database describes a geometry-optimized BaLi2Bi2 structure. The functional is PBE-GGA.

Computed properties:
Total energy   -3.368 eV/atom
E above lowest polymorph   0.0229 eV/atom
ΔH_f (0 K)   -15.3 kcal/mol of atoms
Total moment   0.0 μB per formula unit

Lattice parameters (Å, degrees): 4.9319 4.9319 12.2150 90.00 90.00 90.00
Closest atoms and distances in Å follow each position.
Fractional positions:
Ba 0.0000 0.0000 0.0000  8 Bi 3.82, 8 Li 3.93
Ba 0.5000 0.5000 0.5000  8 Bi 3.82, 8 Li 3.93
Li 0.0000 0.5000 0.2500  4 Bi 2.89
Li 0.0000 0.5000 0.7500  4 Bi 2.89
Li 0.5000 0.0000 0.2500  4 Bi 2.89
Li 0.5000 0.0000 0.7500  4 Bi 2.89
Bi 0.0000 0.0000 0.3727  4 Li 2.89, 1 Bi 3.11
Bi 0.0000 0.0000 0.6273  4 Li 2.89, 1 Bi 3.11
Bi 0.5000 0.5000 0.1273  4 Li 2.89, 1 Bi 3.11
Bi 0.5000 0.5000 0.8727  4 Li 2.89, 1 Bi 3.11


This record from the Alexandria database describes a geometry-optimized BaLi2Bi2 structure. The functional is PBE-GGA.

Computed properties:
Total energy   -3.272 eV/atom
E above lowest polymorph   0.1188 eV/atom
ΔH_f (0 K)   -13.1 kcal/mol of atoms
Total moment   0.0 μB per formula unit

Lattice parameters (Å, degrees): 9.0205 9.0205 3.4343 90.00 90.00 90.00
Closest atoms and distances in Å follow each position.
Fractional positions:
Ba 0.0000 0.0000 0.0000  2 Ba 3.43, 4 Li 3.63, 8 Bi 3.75
Ba 0.5000 0.5000 0.0000  2 Ba 3.43, 4 Li 3.63, 8 Bi 3.75
Li 0.1137 0.3863 0.0000  1 Li 2.90, 6 Bi 3.16-3.20
Li 0.3863 0.8863 0.0000  1 Li 2.90, 6 Bi 3.16-3.20
Li 0.6137 0.1137 0.0000  1 Li 2.90, 6 Bi 3.16-3.20
Li 0.8863 0.6137 0.0000  1 Li 2.90, 6 Bi 3.16-3.20
Bi 0.1744 0.6744 0.5000  6 Li 3.16-3.20, 2 Bi 3.43
Bi 0.3256 0.1744 0.5000  6 Li 3.16-3.20, 2 Bi 3.43
Bi 0.6744 0.8256 0.5000  6 Li 3.16-3.20, 2 Bi 3.43
Bi 0.8256 0.3256 0.5000  6 Li 3.16-3.20, 2 Bi 3.43